No. 1
4
Lattice="8.0671 0.0456 0.0271 7.3835 3.2503 0.0271 7.3835 1.5750 2.8433" Properties=species:S:1:pos:R:3 comment="PBE Sc2SiNi, relaxed" formation_energy_uncorrected_mev_per_atom=-253.2 space_group=R-3m pbc="T T T"
Ni 17.1256 3.6531 2.1731
Sc 11.2981 2.4101 1.4337
Sc 0.1189 0.0254 0.0151
Si 5.7085 1.2177 0.7244

No. 2
4
Lattice="-1.2456 -2.7135 2.3231 0.7066 -2.3015 -2.3095 6.6722 -1.8057 1.4683" Properties=species:S:1:pos:R:3 comment="PBE BaSi2Tc, relaxed" formation_energy_uncorrected_mev_per_atom=-23.3 space_group=Pm e_above_lowest_polymorph_mev_per_atom=245 pbc="T T T"
Ba 5.1510 -4.5944 0.4755
Si 0.6050 -0.4789 -0.2350
Si 1.3878 -1.9874 1.5030
Tc 2.6789 -1.8137 -0.6822

No. 3
4
Lattice="-0.0106 4.2722 3.4463 -0.7088 -1.1823 5.3131 3.2335 -1.8012 -4.0533" Properties=species:S:1:pos:R:3 comment="PBE PtPbAu2, relaxed" formation_enthalpy_0k_mev_per_atom=24 space_group=I4/mmm pbc="T T T"
Au 0.0000 0.0000 0.0000
Au -0.3597 1.5450 4.3797
Pb 1.0825 -0.7192 2.8197
Pt 1.4316 2.0080 1.8864

No. 4
4
Lattice="-0.4182 -2.6930 1.5497 2.9508 0.5785 -0.8869 1.8649 5.2531 9.6317" Properties=species:S:1:pos:R:3 comment="PBE KYMo2, relaxed" formation_enthalpy_0k_mev_per_atom=701 space_group=Cmm2 e_above_lowest_polymorph_mev_per_atom=167 pbc="T T T"
Mo 1.6759 0.0965 2.4468
Mo 0.1101 0.3100 0.5685
Y 0.8250 2.3240 4.2611
K 2.7190 3.0346 7.8339

No. 5
12
Lattice="5.2832 0.0406 -0.0062 0.0755 4.2874 0.6967 0.0085 1.0703 6.8581" Properties=species:S:1:pos:R:3 comment="PBE SrCa2OsO8, relaxed" formation_energy_uncorrected_mev_per_atom=-1883.6 space_group=P-1 pbc="T T T"
O 5.2347 2.3379 5.3831
O 1.2529 4.3265 6.5694
O 2.6336 1.2739 3.5974
O 1.4775 0.8688 0.7790
O 3.8897 4.5295 6.7696
O 2.7336 4.1244 3.9512
O 0.1325 3.0604 2.1655
O 4.1143 1.0718 0.9792
Sr 0.0043 0.5351 3.4291
Ca 2.7262 2.5416 5.6766
Ca 2.6410 2.8567 1.8720
Os 0.0000 0.0000 0.0000

No. 6
5
Lattice="3.8172 0.0000 0.0000 0.0000 3.8172 0.0000 1.9086 1.9086 6.0793" Properties=species:S:1:pos:R:3 comment="PBE Cu2AsAu2, relaxed" formation_enthalpy_0k_mev_per_atom=304 space_group=I4/mmm e_above_lowest_polymorph_mev_per_atom=210 pbc="T T T"
As 0.0000 0.0000 0.0000
Cu 3.8172 3.8172 4.9116
Cu 1.9086 1.9086 1.1677
Au 3.8172 1.9086 3.0397
Au 1.9086 3.8172 3.0397

No. 7
10
Lattice="-3.6256 -6.1946 -3.3067 -2.5363 -2.3150 7.1176 -5.1999 3.4360 -0.7354" Properties=species:S:1:pos:R:3 comment="PBE Rb2HfBi2, relaxed" formation_enthalpy_0k_mev_per_atom=23 space_group=P4/mbm pbc="T T T"
Bi -2.7594 -4.4045 -1.0680
Bi -1.4355 -1.7535 1.9574
Bi -3.4025 -4.1051 4.8788
Bi -4.7264 -6.7561 1.8534
Rb -7.1278 -4.3309 3.3859
Rb -4.8793 -0.8359 3.8164
Rb -6.4825 -4.2377 -0.7410
Rb -4.2340 -0.7427 -0.3104
Hf 0.0000 0.0000 0.0000
Hf -3.0809 -4.2548 1.9054

No. 8
12
Lattice="-3.1941 2.5013 -3.1969 -4.0525 -5.5437 -0.2885 -5.2526 3.4270 7.9293" Properties=species:S:1:pos:R:3 comment="PBE LaY2TmTl2, relaxed" formation_enthalpy_0k_mev_per_atom=-284 space_group=Pmc2_1 pbc="T T T"
Tl -4.4056 1.2467 1.2046
Tl -3.9294 -3.9700 0.8198
Tl -5.7647 1.3212 6.7933
Tl -7.8851 -0.5770 3.2541
Tm -5.9309 -1.4587 0.6118
Tm -5.9706 2.6610 3.8747
La -4.7073 -0.6561 4.1898
La -6.2613 -3.7361 3.3326
Y -2.3315 -1.2665 1.3386
Y -2.0531 1.1278 -1.2389
Y -7.7068 -1.8532 6.2501
Y -8.8360 1.4594 5.7975

no.,final energy (eV/atom),D(E_F) (states/eV/atom)
1,-6.220,0.813
2,-5.807,0.938
3,-4.052,0.311
4,-6.605,0.963
5,-6.599,0.003
6,-3.575,0.488
7,-3.908,0.759
8,-4.794,1.062